(1)
This record from the Alexandria database describes a relaxed structure of KCdPd. The functional is GGA-PBE.

extended XYZ file:
```
3
Lattice="3.765 0.000 0.000 0.000 3.765 0.000 -1.883 -1.883 5.954" Properties=species:S:1:pos:R:3 pbc="T T T"
K 0.000 0.000 0.011
Pd 1.883 1.883 2.678
Cd 0.000 0.000 3.265
```

Summary:
ΔE to the lowest computed polymorph (meV per atom): 80.1
Energy relative to the elements (eV per atom): -0.114
Crystal system: tetragonal

---

(2)
This record from the Alexandria database describes a relaxed structure of Ta2BiTePb. The functional is GGA-PBE.

extended XYZ file:
```
5
Lattice="5.295 0.000 0.000 0.000 5.945 0.000 0.000 0.000 5.295" Properties=species:S:1:pos:R:3 pbc="T T T"
Te 2.647 2.973 2.647
Bi 0.000 0.000 0.000
Ta 0.000 0.000 2.647
Pb 0.000 2.973 0.000
Ta 2.647 0.000 0.000
```

Summary:
Formation energy (no corrections) (eV/atom): 1.86
Crystal system: tetragonal

---

(3)
This record from the Alexandria database describes a relaxed structure of BaNaLi2Zn. The functional is GGA-PBE.

extended XYZ file:
```
5
Lattice="5.417 0.000 0.000 0.000 5.417 0.000 0.000 0.000 6.160" Properties=species:S:1:pos:R:3 pbc="T T T"
Li 2.708 0.000 0.000
Ba 0.000 0.000 3.080
Na 2.708 2.708 3.080
Zn 0.000 0.000 0.000
Li 0.000 2.708 0.000
```

Summary:
ΔE to the lowest computed polymorph (meV per atom): 53.3
Energy relative to the elements (eV per atom): 0.126
Crystal system: tetragonal

---

(4)
This record from the Alexandria database describes a relaxed structure of MgSnW3. The functional is GGA-PBE.

extended XYZ file:
```
5
Lattice="4.619 0.000 0.000 0.000 4.619 0.000 0.000 0.000 4.619" Properties=species:S:1:pos:R:3 pbc="T T T"
W 0.000 2.309 0.000
Mg 0.000 0.000 0.000
Sn 2.309 2.309 2.309
W 0.000 0.000 2.309
W 2.309 0.000 0.000
```

Summary:
ΔE to the lowest computed polymorph (meV per atom): 0.0
Energy relative to the elements (eV per atom): 2.351
Crystal system: cubic

---

(5)
This record from the Alexandria database describes a relaxed structure of La2TaW. The functional is GGA-PBE.

extended XYZ file:
```
4
Lattice="-3.324 -2.991 2.861 1.970 -2.662 -5.391 2.342 -1.814 0.881" Properties=species:S:1:pos:R:3 pbc="T T T"
La 0.000 0.000 0.000
Ta 2.156 -2.238 -2.255
La -0.491 -2.402 1.871
W -0.677 -2.827 -1.265
```

Summary:
ΔE to the lowest computed polymorph (meV per atom): 483.0
Energy relative to the elements (eV per atom): 0.795
Crystal system: monoclinic

---

(6)
This record from the Alexandria database describes a relaxed structure of ReMo2Pb. The functional is GGA-PBE.

extended XYZ file:
```
4
Lattice="-7.910 5.483 0.426 -9.074 3.103 -0.918 -8.860 3.181 2.044" Properties=species:S:1:pos:R:3 pbc="T T T"
Mo -6.657 3.031 0.400
Re -19.138 8.714 1.149
Mo -0.073 0.033 0.004
Pb -12.898 5.873 0.774
```

Summary:
Energy relative to the elements (eV per atom): 0.671
Crystal system: trigonal

---

Calculated V, 28.132 33.334 36.145 19.706 22.717 18.103 Å³/atom (same order as the records).